# 1
Compound: LaBiH
Source: Alexandria
Functional: PBE
Structure: optimized geometry

The structure in extended XYZ format:
```
6
Lattice="-2.6472 -2.2751 0.2834 1.3415 -3.5995 5.3265 -3.8648 2.3805 4.7953" Properties=species:S:1:pos:R:3 pbc="T T T"
H -4.7612 -1.5540 7.2161
H -0.5721 -4.0452 4.3311
La -2.2326 -1.7032 7.8038
La -0.4535 -1.6211 3.4600
Bi -3.1993 -1.3647 1.4299
Bi -3.4755 -0.6351 4.7908
```

## Properties
* relative energy among the computed polymorphs: 0.825 eV per formula unit
* SG: No. 2

=====

# 2
Compound: LiLaBiH
Source: Alexandria
Functional: PBE
Structure: optimized geometry

The structure in extended XYZ format:
```
8
Lattice="4.4513 0.0000 0.0000 0.0000 4.4513 0.0000 0.0000 0.0000 8.5160" Properties=species:S:1:pos:R:3 pbc="T T T"
La 0.0000 2.2257 7.4002
La 2.2257 0.0000 1.1158
H 0.0000 0.0000 0.0000
H 2.2257 2.2257 0.0000
Bi 0.0000 2.2257 2.4471
Bi 2.2257 0.0000 6.0689
Li 2.2257 2.2257 4.2580
Li 0.0000 0.0000 4.2580
```

## Properties
* final energy: -4.30 eV/atom
* SG: No. 129

=====

# 3
Compound: Li2LaBiH
Source: Alexandria
Functional: PBE
Structure: optimized geometry

The structure in extended XYZ format:
```
5
Lattice="4.6594 0.0000 0.0000 0.0000 4.6594 0.0000 0.0000 0.0000 4.8250" Properties=species:S:1:pos:R:3 pbc="T T T"
Bi 2.3297 2.3297 2.4125
Li 2.3297 0.0000 0.0000
Li 0.0000 2.3297 0.0000
H 0.0000 0.0000 0.0000
La 0.0000 0.0000 2.4125
```

## Properties
* final energy: -3.73 eV/atom
* SG: No. 123